Material: Pb3Au
Method: DFT, PBE
State: optimized geometry Values from VASP.

The structure in Quantum ESPRESSO input format:
```
&SYSTEM
  ibrav = 0, nat = 16, ntyp = 2
/
ATOMIC_SPECIES
Pb 207.20 Pb.upf
Au 196.97 Au.upf
CELL_PARAMETERS angstrom
2.994 -8.573 0.000
2.994 8.573 0.000
-2.988 0.000 8.561
ATOMIC_POSITIONS angstrom
Pb 4.430 0.000 3.440
Pb 1.544 -1.644 8.559
Au 0.005 2.509 6.055
Pb 2.994 5.488 3.078
Au 0.005 -2.509 6.055
Pb 2.994 -5.488 3.078
Pb 1.457 0.000 1.642
Pb 1.439 0.000 5.120
Pb -1.531 0.000 6.919
Pb 1.562 -3.450 0.002
Pb 0.005 5.488 5.483
Au 2.994 -2.508 2.508
Pb 1.544 1.644 8.559
Au 2.994 2.508 2.508
Pb 1.562 3.450 0.002
Pb 0.005 -5.488 5.483
```

Theoretical density (g cm⁻³): 12.37
Total energy (eV per atom): -3.655